The following is a meta-GGA SCAN calculation of YRuI3 at its PBEsol-relaxed geometry, from Alexandria via LeMat-Bulk. Values from VASP.

Quantum ESPRESSO input file:
```
&SYSTEM
  ibrav = 0, nat = 5, ntyp = 3
/
ATOMIC_SPECIES
I 126.90 I.upf
Ru 101.07 Ru.upf
Y 88.91 Y.upf
CELL_PARAMETERS angstrom
-3.987 -0.119 3.392
2.816 -3.039 3.202
1.896 4.262 2.378
ATOMIC_POSITIONS crystal
I 0.000 0.500 0.000
I 0.000 0.000 0.500
I 0.500 0.000 0.000
Ru 0.000 0.000 0.000
Y 0.500 0.500 0.500
```

Summary:
The calculation puts the uncorrected formation energy at 0.083 eV per atom. The calculation puts the volume at 28.7 A^3/atom. The value obtained for the density of states at the Fermi level is 2.98 states/eV/f.u. As for the space group: Pm-3m (221).